Record 1
Here is a geometry-optimized Sr3LiAs structure from Alexandria. Energies are from PBE.

The value obtained for the density of states at the Fermi level is 4.9 states/eV per cell. As for the formation energy: -450 meV/atom. As for the calculated volume: 224.5 Å³/cell. Its total energy is -2.772 eV per atom. The space-group type is Pm-3m (221).

Cell: 6.0773 6.0773 6.0773 Å, 90.00 90.00 90.00°
Closest atoms and distances in Å follow each position.
Atoms (fractional coordinates):
Sr (0.0000, 0.0000, 0.5000)  2 As 3.04
Sr (0.0000, 0.5000, 0.0000)  2 As 3.04
Sr (0.5000, 0.0000, 0.0000)  2 As 3.04
Li (0.5000, 0.5000, 0.5000)  12 Sr 4.30
As (0.0000, 0.0000, 0.0000)  6 Sr 3.04

Record 2
Here is a geometry-optimized SrLi4As structure from Alexandria. Energies are from PBE.

The value obtained for the density of states at the Fermi level is 3.1 states/eV per cell. As for the formation energy: -174 meV/atom. As for the calculated volume: 129.0 Å³/cell. Its total energy is -2.505 eV per atom. The space-group type is F-43m (216).

Cell: 5.6719 5.6719 5.6719 Å, 60.00 60.00 60.00°
Closest atoms and distances in Å follow each position.
Atoms (fractional coordinates):
Sr (0.0000, 0.0000, 0.0000)  12 Li 3.33, 4 As 3.47
Li (0.3763, 0.3763, 0.3763)  6 Li 2.81-2.86
Li (0.3763, 0.3763, 0.8712)  6 Li 2.81-2.86
Li (0.3763, 0.8712, 0.3763)  6 Li 2.81-2.86
Li (0.8712, 0.3763, 0.3763)  6 Li 2.81-2.86
As (0.7500, 0.7500, 0.7500)  12 Li 3.32, 4 Sr 3.47

Record 3
Here is a geometry-optimized SrLi2As structure from Alexandria. Energies are from PBE.

The value obtained for the density of states at the Fermi level is 0.5 states/eV per cell. As for the formation energy: -456 meV/atom. As for the calculated volume: 96.2 Å³/cell. Its total energy is -2.996 eV per atom. The space-group type is P4/mmm (123).

Cell: 4.4553 4.4553 4.8456 Å, 90.00 90.00 90.00°
Closest atoms and distances in Å follow each position.
Atoms (fractional coordinates):
Sr (0.0000, 0.0000, 0.0000)  4 As 3.15, 8 Li 3.29
Li (0.0000, 0.5000, 0.5000)  4 Li 3.15, 4 As 3.29, 4 Sr 3.29
Li (0.5000, 0.0000, 0.5000)  4 Li 3.15, 4 As 3.29, 4 Sr 3.29
As (0.5000, 0.5000, 0.0000)  4 Sr 3.15, 8 Li 3.29

Record 4
Here is a geometry-optimized SrLi2As structure from Alexandria. Energies are from PBE.

The value obtained for the density of states at the Fermi level is 3.0 states/eV per cell. As for the formation energy: -440 meV/atom. As for the calculated volume: 203.1 Å³/cell. Its total energy is -2.979 eV per atom. The space-group type is I-42d (122).

Cell: 9.6514 9.6514 9.6514 Å, 151.59 151.59 40.61°
Closest atoms and distances in Å follow each position.
Atoms (fractional coordinates):
Sr (0.0000, 0.0000, 0.0000)  4 As 3.35, 8 Li 3.47-3.49
Sr (0.7500, 0.2500, 0.5000)  4 As 3.35, 8 Li 3.47-3.49
Li (0.3717, 0.1250, 0.7467)  2 Li 2.37, 2 As 2.55
Li (0.3750, 0.6283, 0.7533)  2 Li 2.37, 2 As 2.55
Li (0.3783, 0.6250, 0.2533)  2 Li 2.37, 2 As 2.55
Li (0.8750, 0.6217, 0.2467)  2 Li 2.37, 2 As 2.55
As (0.2500, 0.7500, 0.5000)  4 Li 2.55
As (0.5000, 0.5000, 0.0000)  4 Li 2.55

Please write out number 3 again, unchanged.
Here is a geometry-optimized SrLi2As structure from Alexandria. Energies are from PBE.

The value obtained for the density of states at the Fermi level is 0.5 states/eV per cell. As for the formation energy: -456 meV/atom. As for the calculated volume: 96.2 Å³/cell. Its total energy is -2.996 eV per atom. The space-group type is P4/mmm (123).

Cell: 4.4553 4.4553 4.8456 Å, 90.00 90.00 90.00°
Closest atoms and distances in Å follow each position.
Atoms (fractional coordinates):
Sr (0.0000, 0.0000, 0.0000)  4 As 3.15, 8 Li 3.29
Li (0.0000, 0.5000, 0.5000)  4 Li 3.15, 4 As 3.29, 4 Sr 3.29
Li (0.5000, 0.0000, 0.5000)  4 Li 3.15, 4 As 3.29, 4 Sr 3.29
As (0.5000, 0.5000, 0.0000)  4 Sr 3.15, 8 Li 3.29